(1)
## Zr2HgAu (SCAN)

Data for a PBEsol-optimized structure of Zr2HgAu.

Its total energy is -50.18 eV/atom. The volume is 19.63 Å³ per atom. The calculation puts the magnetic moment at 1.09 μB per cell. The density is 12.3 g cm⁻³.

The structure belongs to space group Pmm2 (No. 25); the cell edges are 3.053, 4.946 and 5.200 Å and the angles 90.00°, 90.00° and 90.00°. The inequivalent atoms are Zr at (0.000, 0.000, 0.000), Zr at (0.000, 0.500, 0.379), Hg at (0.500, 0.000, 0.509) and Au at (0.500, 0.500, 0.867).

(2)
## YAgPb2 (SCAN)

Data for a PBEsol-optimized structure of YAgPb2.

Its total energy is -53.11 eV/atom. The volume is 24.19 Å³ per atom. The calculation puts the magnetic moment at 0.00 μB per cell. The density is 10.5 g cm⁻³.

The structure belongs to space group P4/mmm (No. 123); the cell edges are 4.710, 4.710 and 4.361 Å and the angles 90.00°, 90.00° and 90.00°. The inequivalent atoms are Y at (0.000, 0.000, 0.000), Ag at (0.500, 0.500, 0.000) and Pb at (0.000, 0.500, 0.500).